Entry 1:
! PBE CuNiMoRh, optimized geometry; values from VASP
&SYSTEM
  ibrav = 0, nat = 4, ntyp = 4
/
ATOMIC_SPECIES
Ni 58.69 Ni.upf
Rh 102.91 Rh.upf
Mo 95.94 Mo.upf
Cu 63.55 Cu.upf
CELL_PARAMETERS angstrom
-3.014 2.957 -0.332
-1.276 1.303 -3.823
-3.850 -1.050 -1.419
ATOMIC_POSITIONS crystal
Ni 0.750 0.750 0.750
Rh 0.250 0.250 0.250
Mo 0.500 0.500 0.500
Cu 0.000 0.000 0.000
! - energy of formation from the pure elements (eV per atom) = 0.09
! - space group = No. 216
! - total energy (eV per cell) = -27.7
! - volume (A^3/atom) = 13.43

=====

Entry 2:
! PBE CaTi2SI, optimized geometry; values from VASP
&SYSTEM
  ibrav = 0, nat = 5, ntyp = 4
/
ATOMIC_SPECIES
Ti 47.87 Ti.upf
Ca 40.08 Ca.upf
S 32.06 S.upf
I 126.90 I.upf
CELL_PARAMETERS angstrom
-4.134 0.102 -2.935
0.074 -5.903 -0.310
-2.936 -0.254 4.127
ATOMIC_POSITIONS crystal
Ti 0.500 0.000 0.000
Ca 0.000 0.500 0.000
Ti 0.000 0.000 0.500
S 0.500 0.500 0.500
I 0.000 0.000 0.000
! - space group = No. 123
! - distance to the lowest polymorph of the same formula (eV per atom) = 0.000
! - total energy (eV per cell) = -20.0
! - formation energy (no corrections) (eV/atom) = 0.70
! - volume (A^3/atom) = 30.40

=====

Entry 3:
! PBE NpZnSb, optimized geometry; values from VASP
&SYSTEM
  ibrav = 0, nat = 6, ntyp = 3
/
ATOMIC_SPECIES
Sb 121.76 Sb.upf
Zn 65.41 Zn.upf
Np 237.00 Np.upf
CELL_PARAMETERS angstrom
3.539 0.000 0.000
1.769 3.065 0.000
1.769 1.022 12.304
ATOMIC_POSITIONS crystal
Sb 0.581 0.581 0.258
Sb 0.419 0.419 0.742
Zn 0.857 0.857 0.430
Np 0.316 0.316 0.053
Np 0.684 0.684 0.947
Zn 0.143 0.143 0.570
! - space group = No. 166
! - total energy (eV per cell) = -36.3
! - formation energy (no corrections) (eV/atom) = 0.06
! - volume (A^3/atom) = 22.24

=====

Entry 4:
! PBE PmSm10Y6, optimized geometry; values from VASP
&SYSTEM
  ibrav = 0, nat = 17, ntyp = 3
/
ATOMIC_SPECIES
Y 88.91 Y.upf
Pm 145.00 Pm.upf
Sm 150.36 Sm.upf
CELL_PARAMETERS angstrom
-5.419 0.299 4.254
-6.061 -1.223 -7.635
3.398 -7.823 4.877
ATOMIC_POSITIONS crystal
Y 0.307 0.373 0.000
Y 0.307 0.627 0.627
Y 0.693 0.000 0.627
Pm 0.500 0.000 0.000
Sm 0.000 0.667 0.333
Sm 0.182 0.000 0.724
Sm 0.818 0.724 0.724
Sm 0.818 0.000 0.276
Sm 0.182 0.724 0.000
Y 0.693 0.627 0.000
Sm 0.500 0.333 0.667
Y 0.693 0.373 0.373
Y 0.307 0.000 0.373
Sm 0.818 0.276 0.000
Sm 0.500 0.667 0.333
Sm 0.182 0.276 0.276
Sm 0.000 0.333 0.667
! - energy of formation from the pure elements (eV per atom) = 0.14
! - space group = No. 162
! - total energy (eV per cell) = -88.4
! - volume (A^3/atom) = 33.91

=====

Entry 5:
! PBE LiNF3, optimized geometry; values from VASP
&SYSTEM
  ibrav = 0, nat = 5, ntyp = 3
/
ATOMIC_SPECIES
F 19.00 F.upf
Li 6.94 Li.upf
N 14.01 N.upf
CELL_PARAMETERS angstrom
-3.658 -0.779 -0.453
0.722 -1.398 -3.423
0.540 -3.410 1.507
ATOMIC_POSITIONS crystal
F 0.000 0.000 0.500
Li 0.500 0.500 0.500
F 0.000 0.500 0.000
N 0.000 0.000 0.000
F 0.500 0.000 0.000
! - space group = No. 221
! - distance to the lowest polymorph of the same formula (eV per atom) = 0.000
! - total energy (eV per cell) = -18.1
! - formation energy (no corrections) (eV/atom) = -0.46
! - volume (A^3/atom) = 10.69

=====

Entry 6:
! PBE RbSb2Au, optimized geometry; values from VASP
&SYSTEM
  ibrav = 0, nat = 4, ntyp = 3
/
ATOMIC_SPECIES
Sb 121.76 Sb.upf
Au 196.97 Au.upf
Rb 85.47 Rb.upf
CELL_PARAMETERS angstrom
4.407 0.000 0.000
2.204 3.817 0.000
2.204 1.272 8.012
ATOMIC_POSITIONS crystal
Sb 0.284 0.284 0.149
Sb 0.051 0.051 0.847
Au 0.668 0.668 0.997
Rb 0.498 0.498 0.507
! - space group = No. 160
! - distance to the lowest polymorph of the same formula (eV per atom) = 0.143
! - total energy (eV per cell) = -13.2
! - formation energy (no corrections) (eV/atom) = -0.18
! - volume (A^3/atom) = 33.69

=====

Entry 7:
! PBE LaSmGe, optimized geometry; values from VASP
&SYSTEM
  ibrav = 0, nat = 6, ntyp = 3
/
ATOMIC_SPECIES
Ge 72.64 Ge.upf
La 138.91 La.upf
Sm 150.36 Sm.upf
CELL_PARAMETERS angstrom
4.383 0.000 -0.914
-0.191 4.378 -0.914
-0.403 -0.421 9.034
ATOMIC_POSITIONS crystal
Ge 0.640 0.640 0.280
La 0.000 0.500 0.000
La 0.500 0.000 0.000
Ge 0.360 0.360 0.720
Sm 0.183 0.183 0.366
Sm 0.817 0.817 0.634
! - energy of formation from the pure elements (eV per atom) = -0.60
! - space group = No. 139
! - distance to the lowest polymorph of the same formula (eV per atom) = 0.000
! - total energy (eV per cell) = -32.1
! - volume (A^3/atom) = 28.33

=====

Entry 8:
! PBE Ac2Sn6Rh9, optimized geometry; values from VASP
&SYSTEM
  ibrav = 0, nat = 17, ntyp = 3
/
ATOMIC_SPECIES
Rh 102.91 Rh.upf
Sn 118.71 Sn.upf
Ac 227.00 Ac.upf
CELL_PARAMETERS angstrom
5.940 0.000 0.000
-2.970 5.144 0.000
0.000 0.000 12.258
ATOMIC_POSITIONS crystal
Rh 0.500 0.500 0.168
Rh 0.500 0.500 0.832
Rh 0.000 0.500 0.168
Rh 0.500 0.500 0.500
Sn 0.333 0.667 0.337
Rh 0.000 0.500 0.500
Sn 0.333 0.667 0.663
Sn 0.667 0.333 0.000
Ac 0.000 0.000 0.733
Rh 0.500 0.000 0.832
Ac 0.000 0.000 0.267
Sn 0.333 0.667 0.000
Rh 0.500 0.000 0.168
Rh 0.000 0.500 0.832
Sn 0.667 0.333 0.337
Rh 0.500 0.000 0.500
Sn 0.667 0.333 0.663
! - energy of formation from the pure elements (eV per atom) = -0.51
! - space group = No. 191
! - total energy (eV per cell) = -107.0
! - volume (A^3/atom) = 22.03